# Ba3SrZn2W2O12 | Alexandria | PBE+U | optimized geometry
# VASP energy = -6.5600 eV per atom
data_Ba3SrZn2W2O12
_chemical_formula_sum 'Ba9 Sr3 Zn6 W6 O36'
_cell_length_a 5.8082
_cell_length_b 5.8082
_cell_length_c 28.4341
_cell_angle_alpha 90.00
_cell_angle_beta 90.00
_cell_angle_gamma 120.00
_symmetry_space_group_name_H-M 'R 3 m'
_symmetry_Int_Tables_number 160
_symmetry_space_group_name_Hall 'R 3 -2"'
loop_
_atom_site_label
_atom_site_type_symbol
_atom_site_fract_x
_atom_site_fract_y
_atom_site_fract_z
Ba1 Ba 0.0000 0.0000 0.0000
Ba2 Ba 0.0000 0.0000 0.2497
Ba3 Ba 0.0000 0.0000 0.4995
Sr1 Sr 0.0000 0.0000 0.7498
Zn1 Zn 0.0000 0.0000 0.1244
Zn2 Zn 0.0000 0.0000 0.6251
W1 W 0.0000 0.0000 0.3755
W2 W 0.0000 0.0000 0.8739
O1 O 0.0130 0.5065 0.0027
O2 O 0.0176 0.5088 0.5004
O3 O 0.1742 0.3485 0.0816
O4 O 0.1745 0.3489 0.5806